Entry 1:
Here is a relaxed structure of ThU3P4 from Alexandria. Energies are from PBE. Values from VASP.

Geometry as Quantum ESPRESSO input:
```
&SYSTEM
  ibrav = 0, nat = 8, ntyp = 3
/
ATOMIC_SPECIES
Th 232.04 Th.upf
U 238.03 U.upf
P 30.97 P.upf
CELL_PARAMETERS angstrom
4.027 -5.646 0.000
4.027 5.646 0.000
0.000 0.000 3.960
ATOMIC_POSITIONS angstrom
Th 0.000 0.000 0.000
U 2.013 2.823 1.980
U 2.013 -2.823 1.980
U 4.027 0.000 0.000
P 4.027 2.763 0.000
P 2.102 0.000 1.980
P 5.952 0.000 1.980
P 4.027 -2.763 0.000
```

Values from the calculation:
As for the space group: Cmmm (65). For the size of the total moment, the calculation gives 6.40 μB per formula unit. As for the total energy: -8.961 eV per atom. As for the formation energy: -1.095 eV/atom. As for the mass density: 9.87 g/cm3.

---

Entry 2:
Here is a relaxed structure of Th2UP3 from Alexandria. Energies are from PBE. Values from VASP.

Geometry as Quantum ESPRESSO input:
```
&SYSTEM
  ibrav = 0, nat = 6, ntyp = 3
/
ATOMIC_SPECIES
Th 232.04 Th.upf
U 238.03 U.upf
P 30.97 P.upf
CELL_PARAMETERS angstrom
-2.044 2.044 8.654
2.044 -2.044 8.654
2.044 2.044 -8.654
ATOMIC_POSITIONS angstrom
Th 0.000 0.000 2.883
Th 0.000 0.000 14.426
U 0.000 0.000 8.654
P 0.000 0.000 0.000
P 0.000 0.000 5.838
P 0.000 0.000 11.471
```

Values from the calculation:
As for the space group: I4/mmm (139). For the size of the total moment, the calculation gives 2.40 μB per formula unit. As for the total energy: -8.390 eV per atom. As for the formation energy: -1.331 eV/atom. As for the mass density: 9.13 g/cm3.

---

Entry 3:
Here is a relaxed structure of ThUP3 from Alexandria. Energies are from PBE. Values from VASP.

Geometry as Quantum ESPRESSO input:
```
&SYSTEM
  ibrav = 0, nat = 10, ntyp = 3
/
ATOMIC_SPECIES
Th 232.04 Th.upf
U 238.03 U.upf
P 30.97 P.upf
CELL_PARAMETERS angstrom
4.154 0.000 0.000
0.000 5.880 0.000
0.000 0.000 9.229
ATOMIC_POSITIONS angstrom
Th 1.038 1.470 1.239
Th 3.115 4.410 7.991
U 1.038 4.410 3.575
U 3.115 1.470 5.654
P 1.038 3.252 6.129
P 1.038 4.410 0.769
P 1.038 5.568 6.129
P 3.115 0.312 3.100
P 3.115 1.470 8.460
P 3.115 2.628 3.100
```

Values from the calculation:
As for the space group: Pmmn (59). For the size of the total moment, the calculation gives 2.05 μB per formula unit. As for the total energy: -7.980 eV per atom. As for the formation energy: -0.992 eV/atom. As for the mass density: 8.29 g/cm3.

---

Entry 4:
Here is a relaxed structure of YTh4P5 from Alexandria. Energies are from PBE. Values from VASP.

Geometry as Quantum ESPRESSO input:
```
&SYSTEM
  ibrav = 0, nat = 10, ntyp = 3
/
ATOMIC_SPECIES
Y 88.91 Y.upf
Th 232.04 Th.upf
P 30.97 P.upf
CELL_PARAMETERS angstrom
-4.604 4.604 2.916
4.604 -4.604 2.916
4.604 4.604 -2.916
ATOMIC_POSITIONS angstrom
Y 0.000 0.000 0.000
Th 5.523 1.843 0.000
Th 1.843 3.686 0.000
Th 2.761 0.919 2.916
Th -0.919 2.761 2.916
P 2.728 0.912 0.000
P 3.692 -1.876 2.916
P 0.000 0.000 2.916
P 0.912 6.480 0.000
P 1.876 3.692 2.916
```

Values from the calculation:
As for the space group: I4/m (87). For the size of the total moment, the calculation gives 0.00 μB per formula unit. As for the total energy: -7.882 eV per atom. As for the formation energy: -1.563 eV/atom. As for the mass density: 7.87 g/cm3.

---

Entry 5:
Here is a relaxed structure of Y3ThP4 from Alexandria. Energies are from PBE. Values from VASP.

Geometry as Quantum ESPRESSO input:
```
&SYSTEM
  ibrav = 0, nat = 8, ntyp = 3
/
ATOMIC_SPECIES
Y 88.91 Y.upf
Th 232.04 Th.upf
P 30.97 P.upf
CELL_PARAMETERS angstrom
4.045 -5.721 0.000
4.045 5.721 0.000
0.000 0.000 4.056
ATOMIC_POSITIONS angstrom
Y 0.000 0.000 0.000
Y 2.023 2.861 2.028
Y 2.023 -2.861 2.028
Th 4.045 0.000 0.000
P 1.988 0.000 2.028
P 4.045 2.878 0.000
P 4.045 -2.878 0.000
P 6.102 0.000 2.028
```

Values from the calculation:
As for the space group: Cmmm (65). For the size of the total moment, the calculation gives 0.00 μB per formula unit. As for the total energy: -7.682 eV per atom. As for the formation energy: -1.626 eV/atom. As for the mass density: 5.51 g/cm3.

---

Entry 6:
Here is a relaxed structure of YTh5P6 from Alexandria. Energies are from PBE. Values from VASP.

Geometry as Quantum ESPRESSO input:
```
&SYSTEM
  ibrav = 0, nat = 12, ntyp = 3
/
ATOMIC_SPECIES
Y 88.91 Y.upf
Th 232.04 Th.upf
P 30.97 P.upf
CELL_PARAMETERS angstrom
3.569 -6.186 0.000
3.569 6.186 0.000
-2.383 0.000 6.732
ATOMIC_POSITIONS angstrom
Y 0.000 0.000 0.000
Th 2.378 4.122 3.366
Th 3.569 2.056 0.000
Th 2.378 0.000 3.366
Th 3.569 -2.056 0.000
Th 2.378 -4.122 3.366
P 1.174 2.039 1.665
P -0.031 0.000 5.062
P 1.174 -2.039 1.665
P 3.582 2.039 5.067
P 4.787 0.000 1.670
P 3.582 -2.039 5.067
```

Values from the calculation:
As for the space group: C2/m (12). For the size of the total moment, the calculation gives 0.00 μB per formula unit. As for the total energy: -7.896 eV per atom. As for the formation energy: -1.561 eV/atom. As for the mass density: 8.01 g/cm3.

---

Entry 7:
Here is a relaxed structure of YTh2P3 from Alexandria. Energies are from PBE. Values from VASP.

Geometry as Quantum ESPRESSO input:
```
&SYSTEM
  ibrav = 0, nat = 6, ntyp = 3
/
ATOMIC_SPECIES
Y 88.91 Y.upf
Th 232.04 Th.upf
P 30.97 P.upf
CELL_PARAMETERS angstrom
-2.049 2.903 6.162
2.049 -2.903 6.162
2.049 2.903 -6.162
ATOMIC_POSITIONS angstrom
Y 0.000 0.000 0.000
Th 0.000 0.000 4.111
Th 0.000 0.000 8.212
P 2.049 0.000 2.013
P 0.000 2.903 0.000
P 0.000 2.903 4.149
```

Values from the calculation:
As for the space group: Immm (71). For the size of the total moment, the calculation gives 0.00 μB per formula unit. As for the total energy: -7.832 eV per atom. As for the formation energy: -1.577 eV/atom. As for the mass density: 7.31 g/cm3.

---

Entry 8:
Here is a relaxed structure of Y5ThP6 from Alexandria. Energies are from PBE. Values from VASP.

Geometry as Quantum ESPRESSO input:
```
&SYSTEM
  ibrav = 0, nat = 12, ntyp = 3
/
ATOMIC_SPECIES
Y 88.91 Y.upf
Th 232.04 Th.upf
P 30.97 P.upf
CELL_PARAMETERS angstrom
3.499 -6.055 0.000
3.499 6.055 0.000
-2.335 0.000 6.594
ATOMIC_POSITIONS angstrom
Y 0.000 0.000 0.000
Y 2.332 4.037 3.297
Y 3.499 2.016 0.000
Y 3.499 -2.016 0.000
Y 2.332 -4.037 3.297
Th 2.332 0.000 3.297
P 1.158 2.032 1.634
P -0.017 0.000 4.952
P 1.158 -2.032 1.634
P 3.506 2.032 4.960
P 4.681 0.000 1.641
P 3.506 -2.032 4.960
```

Values from the calculation:
As for the space group: C2/m (12). For the size of the total moment, the calculation gives 0.00 μB per formula unit. As for the total energy: -7.647 eV per atom. As for the formation energy: -1.631 eV/atom. As for the mass density: 5.13 g/cm3.